VASP calculation (PBE) on an optimized crystal structure of Ba2SnCl6.

a = 6.983 Å, b = 6.983 Å, c = 14.046 Å
α = 90.00°, β = 90.00°, γ = 90.00°
Atoms (fractional coordinates):
Cl1 0.312 0.312 0.343
Ba1 0.000 0.000 0.667
Cl2 0.812 0.188 0.843
Cl3 0.688 0.688 0.343
Sn1 0.000 0.000 0.000
Ba2 0.500 0.500 0.833
Cl4 0.688 0.688 0.657
Sn2 0.500 0.500 0.500
Cl5 0.188 0.812 0.843
Ba3 0.500 0.500 0.167
Cl6 0.707 0.707 0.000
Cl7 0.188 0.812 0.157
Cl8 0.793 0.207 0.500
Cl9 0.312 0.312 0.657
Ba4 0.000 0.000 0.333
Cl10 0.812 0.188 0.157
Cl11 0.293 0.293 0.000
Cl12 0.207 0.793 0.500

Values from the calculation:
As for the magnetic moment: 0.0 μB per formula unit. The calculation puts the volume at 38.0 Å³ per atom. The space-group type is P4_2/mnm, No. 136. The formation energy without anion corrections comes out at -1981.8 meV/atom.